Entry 1:
The following is a PBE-GGA calculation of a geometry-optimized Pu3Ga4Rh2 structure, from the Alexandria database.

```
data_Pu3Ga4Rh2
_chemical_formula_sum 'Pu6 Ga8 Rh4'
_cell_length_a 10.151
_cell_length_b 4.611
_cell_length_c 8.511
_cell_angle_alpha 90.00
_cell_angle_beta 121.47
_cell_angle_gamma 90.00
_symmetry_space_group_name_H-M 'C 1 2/m 1'
_symmetry_Int_Tables_number 12
loop_
_symmetry_equiv_pos_as_xyz
'x,y,z'
'-x,-y,-z'
'-x,y,-z'
'x,-y,z'
'x+1/2,y+1/2,z'
'-x+1/2,-y+1/2,-z'
'-x+1/2,y+1/2,-z'
'x+1/2,-y+1/2,z'
loop_
_atom_site_label
_atom_site_fract_x
_atom_site_fract_y
_atom_site_fract_z
Pu1 0.000 0.000 0.000
Pu2 0.167 0.500 0.667
Ga1 0.070 0.000 0.399
Ga2 0.204 0.500 0.041
Rh1 0.111 0.500 0.276
```

Values from the calculation:
Crystal system: monoclinic
E: -8.26 eV per atom
Energy relative to the elements: -507 meV per atom
Total moment: 5.1 μB/f.u.



Entry 2:
The following is a PBE-GGA calculation of a geometry-optimized PuGa3Rh7 structure, from the Alexandria database.

```
data_PuGa3Rh7
_chemical_formula_sum 'Pu2 Ga6 Rh14'
_cell_length_a 8.374
_cell_length_b 9.228
_cell_length_c 5.092
_cell_angle_alpha 90.00
_cell_angle_beta 114.68
_cell_angle_gamma 90.00
_symmetry_space_group_name_H-M 'C 1 2/m 1'
_symmetry_Int_Tables_number 12
loop_
_symmetry_equiv_pos_as_xyz
'x,y,z'
'-x,-y,-z'
'-x,y,-z'
'x,-y,z'
'x+1/2,y+1/2,z'
'-x+1/2,-y+1/2,-z'
'-x+1/2,y+1/2,-z'
'x+1/2,-y+1/2,z'
loop_
_atom_site_label
_atom_site_fract_x
_atom_site_fract_y
_atom_site_fract_z
Pu1 0.000 0.000 0.000
Ga1 0.000 0.275 0.500
Ga2 0.000 0.500 0.000
Rh1 0.000 0.000 0.500
Rh2 0.184 0.280 0.191
Rh3 0.188 0.500 0.564
```

Values from the calculation:
Crystal system: monoclinic
E: -7.05 eV per atom
Energy relative to the elements: -244 meV per atom
Total moment: 2.3 μB/f.u.



Entry 3:
The following is a PBE-GGA calculation of a geometry-optimized Pu2GaSi4Rh3 structure, from the Alexandria database.

```
data_Pu2GaSi4Rh3
_chemical_formula_sum 'Pu2 Ga1 Si4 Rh3'
_cell_length_a 4.121
_cell_length_b 4.121
_cell_length_c 10.083
_cell_angle_alpha 90.00
_cell_angle_beta 90.00
_cell_angle_gamma 90.00
_symmetry_space_group_name_H-M 'P -4 m 2'
_symmetry_Int_Tables_number 115
loop_
_symmetry_equiv_pos_as_xyz
'x,y,z'
'y,-x,-z'
'-x,-y,z'
'-y,x,-z'
'-x,y,z'
'-y,-x,-z'
'x,-y,z'
'y,x,-z'
loop_
_atom_site_label
_atom_site_fract_x
_atom_site_fract_y
_atom_site_fract_z
Pu1 0.000 0.500 0.245
Ga1 0.000 0.000 0.500
Si1 0.000 0.000 0.000
Si2 0.000 0.500 0.644
Si3 0.500 0.500 0.000
Rh1 0.000 0.500 0.877
Rh2 0.500 0.500 0.500
```

Values from the calculation:
Crystal system: tetragonal
E: -8.25 eV per atom
Formation energy (no corrections): -702 meV per atom
Total moment: 10.2 μB/f.u.



Entry 4:
The following is a PBE-GGA calculation of a geometry-optimized Pu2GaSiRh6 structure, from the Alexandria database.

```
data_Pu2GaSiRh6
_chemical_formula_sum 'Pu8 Ga4 Si4 Rh24'
_cell_length_a 9.060
_cell_length_b 9.060
_cell_length_c 9.060
_cell_angle_alpha 90.00
_cell_angle_beta 90.00
_cell_angle_gamma 90.00
_symmetry_space_group_name_H-M 'F m -3 m'
_symmetry_Int_Tables_number 225
_symmetry_space_group_name_Hall '-F 4 2 3'
loop_
_atom_site_label
_atom_site_fract_x
_atom_site_fract_y
_atom_site_fract_z
Pu1 0.250 0.250 0.250
Ga1 0.000 0.000 0.000
Si1 0.000 0.000 0.500
Rh1 0.000 0.000 0.256
```

Values from the calculation:
Crystal system: cubic
E: -8.36 eV per atom
Formation energy (no corrections): -233 meV per atom
Total moment: 9.3 μB/f.u.



Entry 5:
The following is a PBE-GGA calculation of a geometry-optimized Sm2PuGa2Rh5 structure, from the Alexandria database.

```
data_Sm2PuGa2Rh5
_chemical_formula_sum 'Sm4 Pu2 Ga4 Rh10'
_cell_length_a 10.025
_cell_length_b 10.025
_cell_length_c 3.672
_cell_angle_alpha 90.00
_cell_angle_beta 90.00
_cell_angle_gamma 90.00
_symmetry_space_group_name_H-M 'P 4/m b m'
_symmetry_Int_Tables_number 127
_symmetry_space_group_name_Hall '-P 4 2ab'
loop_
_atom_site_label
_atom_site_fract_x
_atom_site_fract_y
_atom_site_fract_z
Sm1 0.173 0.327 0.000
Pu1 0.000 0.000 0.000
Ga1 0.123 0.623 0.000
Rh1 0.000 0.500 0.500
Rh2 0.069 0.790 0.500
```

Values from the calculation:
Crystal system: tetragonal
E: -7.37 eV per atom
Energy relative to the elements: -712 meV per atom
Total moment: 4.8 μB/f.u.



Entry 6:
The following is a PBE-GGA calculation of a geometry-optimized Tb2PuGa2Rh5 structure, from the Alexandria database.

```
data_Tb2PuGa2Rh5
_chemical_formula_sum 'Tb4 Pu2 Ga4 Rh10'
_cell_length_a 9.919
_cell_length_b 9.919
_cell_length_c 3.672
_cell_angle_alpha 90.00
_cell_angle_beta 90.00
_cell_angle_gamma 90.00
_symmetry_space_group_name_H-M 'P 4/m b m'
_symmetry_Int_Tables_number 127
_symmetry_space_group_name_Hall '-P 4 2ab'
loop_
_atom_site_label
_atom_site_fract_x
_atom_site_fract_y
_atom_site_fract_z
Tb1 0.172 0.328 0.000
Pu1 0.000 0.000 0.000
Ga1 0.124 0.624 0.000
Rh1 0.000 0.500 0.500
Rh2 0.070 0.792 0.500
```

Values from the calculation:
Crystal system: tetragonal
E: -7.39 eV per atom
Energy relative to the elements: -750 meV per atom
Total moment: 4.7 μB/f.u.



Entry 7:
The following is a PBE-GGA calculation of a geometry-optimized Tm2PuGa2Rh5 structure, from the Alexandria database.

```
data_Tm2PuGa2Rh5
_chemical_formula_sum 'Tm4 Pu2 Ga4 Rh10'
_cell_length_a 9.817
_cell_length_b 9.817
_cell_length_c 3.671
_cell_angle_alpha 90.00
_cell_angle_beta 90.00
_cell_angle_gamma 90.00
_symmetry_space_group_name_H-M 'P 4/m b m'
_symmetry_Int_Tables_number 127
_symmetry_space_group_name_Hall '-P 4 2ab'
loop_
_atom_site_label
_atom_site_fract_x
_atom_site_fract_y
_atom_site_fract_z
Tm1 0.171 0.329 0.000
Pu1 0.000 0.000 0.000
Ga1 0.124 0.624 0.000
Rh1 0.000 0.500 0.500
Rh2 0.070 0.793 0.500
```

Values from the calculation:
Crystal system: tetragonal
E: -7.38 eV per atom
Energy relative to the elements: -774 meV per atom
Total moment: 4.6 μB/f.u.



Entry 8:
The following is a PBE-GGA calculation of a geometry-optimized PuUGaRh structure, from the Alexandria database.

```
data_PuUGaRh
_chemical_formula_sum 'Pu4 U4 Ga4 Rh4'
_cell_length_a 6.729
_cell_length_b 6.729
_cell_length_c 6.729
_cell_angle_alpha 90.00
_cell_angle_beta 90.00
_cell_angle_gamma 90.00
_symmetry_space_group_name_H-M 'F -4 3 m'
_symmetry_Int_Tables_number 216
_symmetry_space_group_name_Hall 'F -4 2 3'
loop_
_atom_site_label
_atom_site_fract_x
_atom_site_fract_y
_atom_site_fract_z
Pu1 0.000 0.000 0.000
U1 0.250 0.250 0.250
Ga1 0.250 0.250 0.750
Rh1 0.000 0.000 0.500
```

Values from the calculation:
Crystal system: cubic
E: -9.37 eV per atom
Energy relative to the elements: -374 meV per atom
Total moment: 8.0 μB/f.u.



Entry 9:
The following is a PBE-GGA calculation of a geometry-optimized Pu2ZnGa2Rh5 structure, from the Alexandria database.

```
data_Pu2ZnGa2Rh5
_chemical_formula_sum 'Pu4 Zn2 Ga4 Rh10'
_cell_length_a 9.801
_cell_length_b 9.801
_cell_length_c 3.533
_cell_angle_alpha 90.00
_cell_angle_beta 90.00
_cell_angle_gamma 90.00
_symmetry_space_group_name_H-M 'P 4/m b m'
_symmetry_Int_Tables_number 127
_symmetry_space_group_name_Hall '-P 4 2ab'
loop_
_atom_site_label
_atom_site_fract_x
_atom_site_fract_y
_atom_site_fract_z
Pu1 0.174 0.326 0.000
Zn1 0.000 0.000 0.000
Ga1 0.126 0.626 0.000
Rh1 0.000 0.500 0.500
Rh2 0.067 0.799 0.500
```

Values from the calculation:
Crystal system: tetragonal
E: -7.77 eV per atom
Energy relative to the elements: -494 meV per atom
Total moment: 9.5 μB/f.u.



Entry 10:
The following is a PBE-GGA calculation of a geometry-optimized PuZnGaRh structure, from the Alexandria database.

```
data_PuZnGaRh
_chemical_formula_sum 'Pu4 Zn4 Ga4 Rh4'
_cell_length_a 6.616
_cell_length_b 6.616
_cell_length_c 6.616
_cell_angle_alpha 90.00
_cell_angle_beta 90.00
_cell_angle_gamma 90.00
_symmetry_space_group_name_H-M 'F -4 3 m'
_symmetry_Int_Tables_number 216
_symmetry_space_group_name_Hall 'F -4 2 3'
loop_
_atom_site_label
_atom_site_fract_x
_atom_site_fract_y
_atom_site_fract_z
Pu1 0.000 0.000 0.000
Zn1 0.250 0.250 0.750
Ga1 0.000 0.000 0.500
Rh1 0.250 0.250 0.250
```

Values from the calculation:
Crystal system: cubic
E: -6.75 eV per atom
Energy relative to the elements: -258 meV per atom
Total moment: 5.0 μB/f.u.



Among the records above, which one has the lowest total moment?
PuGa3Rh7



Look up the E of the fourth one.
-8.36 eV per atom